Entry 1:
NaZnCr2 | GGA-PBE | relaxed

The total energy is -4.32 eV/atom. The total moment is 0.00 μB per formula unit. For the volume, the calculation gives 18.1 A^3/atom.

Structure (CIF):
```
data_NaZnCr2
_space_group_name_H-M_alt 'I -4 2 d'
_space_group_IT_number 122
_space_group_name_Hall 'I -4 2bw'
_cell_length_a 3.877
_cell_length_b 3.877
_cell_length_c 19.271
_cell_angle_alpha 90.00
_cell_angle_beta 90.00
_cell_angle_gamma 90.00
loop_
_atom_site_label
_atom_site_type_symbol
_atom_site_fract_x
_atom_site_fract_y
_atom_site_fract_z
_atom_site_occupancy
Na1 Na 0.000 0.000 0.000 1
Zn1 Zn 0.000 0.000 0.500 1
Cr1 Cr 0.085 0.250 0.625 1
```

---

Entry 2:
NaZn2Cr | GGA-PBE | relaxed

The total energy is -2.79 eV/atom. The total moment is 4.61 μB per formula unit. For the volume, the calculation gives 26.6 A^3/atom.

Structure (CIF):
```
data_NaZn2Cr
_space_group_name_H-M_alt 'I -4 2 d'
_space_group_IT_number 122
_space_group_name_Hall 'I -4 2bw'
_cell_length_a 4.791
_cell_length_b 4.791
_cell_length_c 18.516
_cell_angle_alpha 90.00
_cell_angle_beta 90.00
_cell_angle_gamma 90.00
loop_
_atom_site_label
_atom_site_type_symbol
_atom_site_fract_x
_atom_site_fract_y
_atom_site_fract_z
_atom_site_occupancy
Na1 Na 0.000 0.000 0.000 1
Zn1 Zn 0.009 0.250 0.625 1
Cr1 Cr 0.000 0.000 0.500 1
```

---

Entry 3:
Na3ZnCr | GGA-PBE | relaxed

The total energy is -2.15 eV/atom. The total moment is 5.65 μB per formula unit. For the volume, the calculation gives 39.9 A^3/atom.

Structure (CIF):
```
data_Na3ZnCr
_space_group_name_H-M_alt 'P m -3 m'
_space_group_IT_number 221
_space_group_name_Hall '-P 4 2 3'
_cell_length_a 5.842
_cell_length_b 5.842
_cell_length_c 5.842
_cell_angle_alpha 90.00
_cell_angle_beta 90.00
_cell_angle_gamma 90.00
loop_
_atom_site_label
_atom_site_type_symbol
_atom_site_fract_x
_atom_site_fract_y
_atom_site_fract_z
_atom_site_occupancy
Na1 Na 0.000 0.000 0.500 1
Zn1 Zn 0.500 0.500 0.500 1
Cr1 Cr 0.000 0.000 0.000 1
```

---

Entry 4:
NaZrZnCr2 | GGA-PBE | relaxed

The total energy is -4.34 eV/atom. The total moment is 6.79 μB per formula unit. For the volume, the calculation gives 23.1 A^3/atom.

Structure (CIF):
```
data_NaZrZnCr2
_space_group_name_H-M_alt 'P 4/m m m'
_space_group_IT_number 123
_space_group_name_Hall '-P 4 2'
_cell_length_a 4.752
_cell_length_b 4.752
_cell_length_c 5.108
_cell_angle_alpha 90.00
_cell_angle_beta 90.00
_cell_angle_gamma 90.00
loop_
_atom_site_label
_atom_site_type_symbol
_atom_site_fract_x
_atom_site_fract_y
_atom_site_fract_z
_atom_site_occupancy
Na1 Na 0.000 0.000 0.000 1
Zr1 Zr 0.000 0.000 0.500 1
Zn1 Zn 0.500 0.500 0.500 1
Cr1 Cr 0.000 0.500 0.000 1
```

---

Entry 5:
NaZr2Cr2 | GGA-PBE | relaxed

The total energy is -6.94 eV/atom. The total moment is 0.00 μB per formula unit. For the volume, the calculation gives 21.9 A^3/atom.

Structure (CIF):
```
data_NaZr2Cr2
_space_group_name_H-M_alt 'I 4/m m m'
_space_group_IT_number 139
_space_group_name_Hall '-I 4 2'
_cell_length_a 3.242
_cell_length_b 3.242
_cell_length_c 20.816
_cell_angle_alpha 90.00
_cell_angle_beta 90.00
_cell_angle_gamma 90.00
loop_
_atom_site_label
_atom_site_type_symbol
_atom_site_fract_x
_atom_site_fract_y
_atom_site_fract_z
_atom_site_occupancy
Na1 Na 0.000 0.000 0.000 1
Zr1 Zr 0.000 0.000 0.359 1
Cr1 Cr 0.000 0.500 0.250 1
```

---

Entry 6:
NaZrCr2 | GGA-PBE | relaxed

The total energy is -6.00 eV/atom. The total moment is 0.00 μB per formula unit. For the volume, the calculation gives 17.7 A^3/atom.

Structure (CIF):
```
data_NaZrCr2
_space_group_name_H-M_alt 'I -4 2 d'
_space_group_IT_number 122
_space_group_name_Hall 'I -4 2bw'
_cell_length_a 3.843
_cell_length_b 3.843
_cell_length_c 19.163
_cell_angle_alpha 90.00
_cell_angle_beta 90.00
_cell_angle_gamma 90.00
loop_
_atom_site_label
_atom_site_type_symbol
_atom_site_fract_x
_atom_site_fract_y
_atom_site_fract_z
_atom_site_occupancy
Na1 Na 0.000 0.000 0.000 1
Zr1 Zr 0.000 0.000 0.500 1
Cr1 Cr 0.185 0.250 0.625 1
```